Computed, not measured: a relaxed Ti6TlAu crystal at the PBE level of DFT.

extended XYZ file:
```
8
Lattice="4.845 0.000 0.000 0.000 5.113 -2.733 0.000 -0.187 5.795" Properties=species:S:1:pos:R:3 pbc="T T T"
Ti 0.000 0.342 2.187
Ti 0.000 2.909 0.813
Ti 2.422 4.665 -2.013
Ti 0.000 2.813 3.723
Ti 2.422 4.574 0.868
Ti 2.422 2.123 -0.656
Au 0.000 0.254 5.084
Tl 2.422 2.021 2.241
```

Calculated values
The formation energy is -0.560 eV/f.u. The calculation puts the density of states at the Fermi level at 14.2 states/eV/cell.

---

Computed, not measured: a relaxed ZrPd2Pt2 crystal at the PBE level of DFT.

extended XYZ file:
```
10
Lattice="-2.198 -3.652 1.605 -0.467 -1.982 -5.150 6.502 -2.948 2.197" Properties=species:S:1:pos:R:3 pbc="T T T"
Pt 1.873 -2.487 0.137
Pt 4.329 -6.813 0.120
Pt 1.965 -6.095 -1.486
Pt -0.491 -1.769 -1.469
Pd 4.483 -5.749 2.751
Pd 1.570 -3.496 -2.573
Pd 2.267 -5.086 1.224
Pd -0.645 -2.833 -4.099
Zr 0.004 -4.457 -0.443
Zr 3.833 -4.125 -0.906
```

Calculated values
The formation energy is -2.282 eV/f.u. The calculation puts the density of states at the Fermi level at 6.6 states/eV/cell.

---

Computed, not measured: a relaxed Cd8Hg crystal at the PBE level of DFT.

extended XYZ file:
```
9
Lattice="-0.176 4.171 -1.637 -4.182 -0.031 -5.770 -5.290 -0.785 4.710" Properties=species:S:1:pos:R:3 pbc="T T T"
Cd -4.611 1.112 -2.814
Cd -1.892 2.522 0.487
Cd -2.897 2.765 -4.928
Cd -6.306 -0.543 -0.706
Cd -5.037 2.244 0.117
Cd -3.574 0.864 2.586
Cd -1.462 1.376 -2.480
Cd -3.167 -0.273 -0.354
Hg 0.000 0.000 0.000
```

Calculated values
The formation energy is 0.162 eV/f.u. The calculation puts the density of states at the Fermi level at 4.1 states/eV/cell.

---

Computed, not measured: a relaxed Ca4Pu3IrN8 crystal at the PBE level of DFT.

extended XYZ file:
```
16
Lattice="-3.047 -5.718 -1.927 -0.754 -1.816 6.581 -2.379 5.970 -2.097" Properties=species:S:1:pos:R:3 pbc="T T T"
N -2.243 1.109 0.255
N -2.578 -4.727 0.341
N -3.602 3.162 2.215
N -5.120 0.315 1.255
N -3.762 -1.754 -0.703
N -3.937 -2.674 2.302
N -2.418 0.189 3.260
N -1.060 -1.879 1.301
Pu -1.901 -3.767 2.327
Pu -3.090 -0.782 1.278
Pu -1.567 2.077 2.242
Ca -2.713 0.126 -2.012
Ca -1.189 2.985 -1.048
Ca -1.523 -2.859 -0.964
Ca 0.000 0.000 0.000
Ir -0.377 -0.908 3.290
```

Calculated values
The electronic total energy is -141.70 eV for the cell shown. The calculation puts the density of states at the Fermi level at 18.8 states/eV/cell.

---

Computed, not measured: a relaxed LaB4Rh8 crystal at the PBE level of DFT.

extended XYZ file:
```
13
Lattice="4.941 0.000 0.000 2.470 5.821 0.000 2.470 0.000 5.821" Properties=species:S:1:pos:R:3 pbc="T T T"
B 1.235 2.910 0.000
B 1.235 0.000 2.910
B 3.706 2.910 0.000
B 3.706 0.000 2.910
Rh 2.470 3.878 1.943
Rh 2.470 1.943 3.878
Rh 4.941 1.324 4.497
Rh 4.941 3.878 3.878
Rh 4.941 1.943 1.943
Rh 4.941 4.497 1.324
Rh 7.411 4.497 4.497
Rh 2.470 1.324 1.324
La 0.000 0.000 0.000
```

Calculated values
The formation energy is -0.268 eV/f.u. The calculation puts the density of states at the Fermi level at 8.9 states/eV/cell.

---

Computed, not measured: a relaxed CsHg5Au2 crystal at the PBE level of DFT.

extended XYZ file:
```
16
Lattice="-6.724 -4.007 -1.971 -1.718 -0.967 7.827 0.056 9.500 -2.976" Properties=species:S:1:pos:R:3 pbc="T T T"
Hg -4.221 -2.487 2.928
Hg 0.000 0.000 0.000
Hg -4.738 4.529 2.578
Hg -5.459 4.070 -1.799
Hg -7.413 -2.233 1.155
Hg -1.694 6.301 -2.652
Hg -0.973 6.759 1.724
Hg -3.648 -0.003 0.302
Hg -6.692 -1.775 5.532
Hg -2.927 0.455 4.678
Au -1.726 -1.010 2.216
Au -6.716 -3.964 3.639
Au -4.824 -2.865 0.029
Au -3.618 -2.109 5.827
Cs -6.304 1.019 2.904
Cs -2.083 3.506 -0.024
```

Calculated values
The formation energy is -0.357 eV/f.u. The calculation puts the density of states at the Fermi level at 3.8 states/eV/cell.

---

Computed, not measured: a relaxed NbTeHPdICl crystal at the PBE level of DFT.

extended XYZ file:
```
6
Lattice="-2.209 -1.864 -2.800 2.770 -4.516 2.000 -5.367 2.065 5.018" Properties=species:S:1:pos:R:3 pbc="T T T"
Nb -3.952 -1.846 -0.041
Pd -1.769 -4.163 0.576
H -2.468 -2.911 -0.556
Te 0.938 -4.487 2.001
I -2.867 -2.710 2.544
Cl -3.790 0.210 3.937
```

Calculated values
The electronic total energy is -27.12 eV for the cell shown. The calculation puts the density of states at the Fermi level at 0.5 states/eV/cell.

---

Computed, not measured: a relaxed Tb4Tm3Au4 crystal at the PBE level of DFT.

extended XYZ file:
```
11
Lattice="3.722 0.000 0.000 0.000 9.153 0.000 -1.861 -4.576 8.492" Properties=species:S:1:pos:R:3 pbc="T T T"
Au 1.861 0.000 4.122
Au 0.000 4.576 4.370
Au 1.861 1.674 0.000
Au 1.861 7.479 0.000
Tb 1.861 2.875 2.745
Tb 0.000 -1.702 5.747
Tb 1.861 6.278 2.745
Tb 0.000 1.702 5.747
Tm 0.000 0.000 1.723
Tm 1.861 4.576 6.769
Tm 0.000 4.576 0.000
```

Calculated values
The formation energy is -6.254 eV/f.u. The calculation puts the density of states at the Fermi level at 10.6 states/eV/cell.

---

Computed, not measured: a relaxed KGeIr crystal at the PBE level of DFT.

extended XYZ file:
```
3
Lattice="5.462 0.000 0.000 0.000 4.129 0.000 0.000 -2.064 3.576" Properties=species:S:1:pos:R:3 pbc="T T T"
Ir 0.910 0.000 2.384
Ge 0.910 0.000 0.000
K 3.642 2.064 1.192
```

Calculated values
The formation energy is -0.182 eV/f.u. The calculation puts the density of states at the Fermi level at 1.4 states/eV/cell.

---

Computed, not measured: a relaxed KAs2Ir crystal at the PBE level of DFT.

extended XYZ file:
```
4
Lattice="-4.535 1.853 -2.512 -2.252 0.857 -4.950 -3.382 -5.005 -1.122" Properties=species:S:1:pos:R:3 pbc="T T T"
Ir -5.268 -2.057 -4.092
As -3.122 -4.122 -1.239
As -7.809 -1.625 -6.648
K -2.436 -0.644 -2.018
```

Calculated values
The formation energy is -0.246 eV/f.u. The calculation puts the density of states at the Fermi level at 1.0 states/eV/cell.

---

Computed, not measured: a relaxed DyEr6Co2 crystal at the PBE level of DFT.

extended XYZ file:
```
18
Lattice="7.976 0.417 -2.684 -4.427 6.823 -2.202 -0.088 -0.417 8.415" Properties=species:S:1:pos:R:3 pbc="T T T"
Er 0.980 4.747 3.866
Er -0.535 1.658 5.950
Er -1.728 4.855 5.940
Er 5.189 1.967 -2.411
Er 3.996 5.164 -2.421
Er 5.420 0.175 0.834
Er -1.958 6.648 2.695
Er 2.482 2.076 -0.336
Er 3.780 2.502 3.091
Er 2.860 5.273 0.795
Er 0.602 1.550 2.734
Er -0.319 4.321 0.439
Dy 0.000 0.000 0.000
Dy -2.257 3.203 3.107
Co 2.199 2.476 5.267
Co 5.459 0.000 3.966
Co 1.262 4.347 -1.738
Co 2.430 0.000 1.765
```

Calculated values
The formation energy is -0.726 eV/f.u. The calculation puts the density of states at the Fermi level at 19.9 states/eV/cell.

---

Computed, not measured: a relaxed La4Te3Ir crystal at the PBE level of DFT.

extended XYZ file:
```
8
Lattice="-3.396 0.362 2.768 3.323 -5.371 4.780 2.557 7.166 2.200" Properties=species:S:1:pos:R:3 pbc="T T T"
Te 1.242 1.079 4.874
Te 1.662 -2.685 2.390
Te 1.279 3.583 1.100
La 1.037 4.438 4.183
La 1.261 0.385 1.496
La 4.620 1.411 5.483
La 1.448 -2.280 5.565
Ir -1.698 0.181 1.384
```

Calculated values
The electronic total energy is -48.94 eV for the cell shown. The calculation puts the density of states at the Fermi level at 8.1 states/eV/cell.